(1)
Material: HfMnSeN2
Method: DFT, GGA-PBE
State: relaxed

Cell: 4.0588 4.0588 5.5798 Å, 90.00 90.00 90.00°
Sites, in units of the cell vectors:
1 Hf 0.0000 0.0000 0.0000
2 Mn 0.5000 0.5000 0.5000
3 Se 0.0000 0.0000 0.5000
4 N 0.0000 0.5000 0.0000
5 N 0.5000 0.0000 0.0000

Results
Uncorrected formation energy, eV/atom: 0.2198
Offset from the most stable computed form, meV/atom: 0
DOS at the Fermi energy, states/eV per cell: 2.49
Mass density, g/cm³: 6.1
Space group: P4/mmm (123)

=====

(2)
Material: Na3SbCl2F6
Method: DFT, GGA-PBE
State: relaxed

Cell: 7.7025 7.7025 4.7380 Å, 90.29 90.29 54.12°
Sites, in units of the cell vectors:
1 Na 0.0000 0.0000 0.0000
2 Na 0.0000 0.5000 0.5000
3 Na 0.5000 0.0000 0.5000
4 Sb 0.5000 0.5000 0.5000
5 Cl 0.1876 0.1876 0.8757
6 Cl 0.8124 0.8124 0.1243
7 F 0.2540 0.6502 0.7430
8 F 0.3498 0.7460 0.2570
9 F 0.3727 0.3727 0.3249
10 F 0.6273 0.6273 0.6751
11 F 0.6502 0.2540 0.7430
12 F 0.7460 0.3498 0.2570

Results
Uncorrected formation energy, eV/atom: -2.2264
DOS at the Fermi energy, states/eV per cell: 0.00
Mass density, g/cm³: 2.7
Space group: C2/m (12)

=====

(3)
Material: SrZn2Si
Method: DFT, GGA-PBE
State: relaxed

Cell: 6.1467 10.7504 3.0435 Å, 90.00 118.27 90.00°
Sites, in units of the cell vectors:
1 Sr 0.0000 0.0000 0.0000
2 Sr 0.5000 0.5000 0.0000
3 Zn 0.2500 0.2500 0.5000
4 Zn 0.2500 0.7500 0.5000
5 Zn 0.7500 0.2500 0.5000
6 Zn 0.7500 0.7500 0.5000
7 Si 0.0000 0.5000 0.0000
8 Si 0.5000 0.0000 0.0000

Results
Uncorrected formation energy, eV/atom: 0.2314
DOS at the Fermi energy, states/eV per cell: 3.66
Mass density, g/cm³: 4.6
Space group: C2/m (12)

=====

(4)
Material: LiPrEuPt
Method: DFT, GGA-PBE
State: relaxed

Cell: 7.3099 7.3099 7.3099 Å, 90.00 90.00 90.00°
Sites, in units of the cell vectors:
1 Li 0.0000 0.0000 0.0000
2 Li 0.0000 0.5000 0.5000
3 Li 0.5000 0.0000 0.5000
4 Li 0.5000 0.5000 0.0000
5 Pr 0.2500 0.2500 0.2500
6 Pr 0.2500 0.7500 0.7500
7 Pr 0.7500 0.2500 0.7500
8 Pr 0.7500 0.7500 0.2500
9 Eu 0.2500 0.2500 0.7500
10 Eu 0.2500 0.7500 0.2500
11 Eu 0.7500 0.2500 0.2500
12 Eu 0.7500 0.7500 0.7500
13 Pt 0.0000 0.0000 0.5000
14 Pt 0.0000 0.5000 0.0000
15 Pt 0.5000 0.0000 0.0000
16 Pt 0.5000 0.5000 0.5000

Results
Total energy, eV/atom: -6.264
DOS at the Fermi energy, states/eV per cell: 16.92
Mass density, g/cm³: 8.4
Space group: F-43m (216)

=====

(5)
Material: CuOsBr2
Method: DFT, GGA-PBE
State: relaxed

Cell: 7.2042 3.2126 6.9736 Å, 90.00 107.32 90.00°
Sites, in units of the cell vectors:
1 Cu 0.0000 0.0000 0.0000
2 Cu 0.5000 0.5000 0.0000
3 Os 0.0000 0.5000 0.5000
4 Os 0.5000 0.0000 0.5000
5 Br 0.2233 0.5000 0.2778
6 Br 0.2767 0.0000 0.7222
7 Br 0.7233 0.0000 0.2778
8 Br 0.7767 0.5000 0.7222

Results
Uncorrected formation energy, eV/atom: 0.9280
Offset from the most stable computed form, meV/atom: 507
DOS at the Fermi energy, states/eV per cell: 3.63
Mass density, g/cm³: 8.9
Space group: C2/m (12)

=====

(6)
Material: CsNaZr2H
Method: DFT, GGA-PBE
State: relaxed

Cell: 5.4482 5.4482 4.9630 Å, 90.00 90.00 90.00°
Sites, in units of the cell vectors:
1 Cs 0.0000 0.0000 0.0000
2 Na 0.5000 0.5000 0.5000
3 Zr 0.0000 0.5000 0.0000
4 Zr 0.5000 0.0000 0.0000
5 H 0.0000 0.0000 0.5000

Results
Total energy, eV/atom: -2.623
DOS at the Fermi energy, states/eV per cell: 7.13
Mass density, g/cm³: 3.8
Space group: P4/mmm (123)

=====

(7)
Material: Na2HgBr
Method: DFT, GGA-PBE
State: relaxed

Cell: 3.7275 3.7275 7.6341 Å, 90.00 90.00 90.00°
Sites, in units of the cell vectors:
1 Na 0.0000 0.0000 0.2333
2 Na 0.0000 0.0000 0.7667
3 Hg 0.5000 0.5000 0.5000
4 Br 0.5000 0.5000 0.0000

Results
Uncorrected formation energy, eV/atom: -0.7793
Offset from the most stable computed form, meV/atom: 0
DOS at the Fermi energy, states/eV per cell: 1.02
Mass density, g/cm³: 5.1
Space group: P4/mmm (123)

=====

(8)
Material: KMg4Ni
Method: DFT, GGA-PBE
State: relaxed

Cell: 5.9216 5.9216 5.9216 Å, 60.00 60.00 60.00°
Sites, in units of the cell vectors:
1 K 0.0000 0.0000 0.0000
2 Mg 0.1300 0.6233 0.6233
3 Mg 0.6233 0.1300 0.6233
4 Mg 0.6233 0.6233 0.1300
5 Mg 0.6233 0.6233 0.6233
6 Ni 0.2500 0.2500 0.2500

Results
Total energy, eV/atom: -1.798
DOS at the Fermi energy, states/eV per cell: 4.26
Mass density, g/cm³: 2.2
Space group: F-43m (216)

=====

(9)
Material: La12Tb7Ce
Method: DFT, GGA-PBE
State: relaxed

Cell: 11.4897 11.4897 11.4897 Å, 116.64 116.64 116.64°
Sites, in units of the cell vectors:
1 La 0.0011 0.4073 0.5943
2 La 0.0624 0.0629 0.4183
3 La 0.0629 0.4183 0.0624
4 La 0.4057 0.9989 0.5927
5 La 0.4073 0.5943 0.0011
6 La 0.4183 0.0624 0.0629
7 La 0.5817 0.9376 0.9371
8 La 0.5927 0.4057 0.9989
9 La 0.5943 0.0011 0.4073
10 La 0.9371 0.5817 0.9376
11 La 0.9376 0.9371 0.5817
12 La 0.9989 0.5927 0.4057
13 Tb 0.0000 0.0000 0.0000
14 Tb 0.1453 0.3908 0.3901
15 Tb 0.3901 0.1453 0.3908
16 Tb 0.3908 0.3901 0.1453
17 Tb 0.6092 0.6099 0.8547
18 Tb 0.6099 0.8547 0.6092
19 Tb 0.8547 0.6092 0.6099
20 Ce 0.5000 0.5000 0.5000

Results
Total energy, eV/atom: -4.680
DOS at the Fermi energy, states/eV per cell: 29.60
Mass density, g/cm³: 6.9
Space group: R-3 (148)

=====

(10)
Material: LaPm2N3
Method: DFT, GGA-PBE
State: relaxed

Cell: 6.3425 6.3425 6.3354 Å, 99.60 99.60 119.95°
Sites, in units of the cell vectors:
1 La 0.0839 0.9161 0.7500
2 La 0.9161 0.0839 0.2500
3 Pm 0.2516 0.7484 0.2500
4 Pm 0.4167 0.5833 0.7500
5 Pm 0.5833 0.4167 0.2500
6 Pm 0.7484 0.2516 0.7500
7 N 0.0000 0.5000 0.5000
8 N 0.1720 0.3433 0.0010
9 N 0.3433 0.1720 0.5010
10 N 0.5000 0.0000 0.0000
11 N 0.6567 0.8280 0.4990
12 N 0.8280 0.6567 0.9990

Results
Uncorrected formation energy, eV/atom: -1.3887
DOS at the Fermi energy, states/eV per cell: 0.17
Mass density, g/cm³: 7.5
Space group: C2/c (15)

=====

(11)
Material: MnCuNi2
Method: DFT, GGA-PBE
State: relaxed

Cell: 8.4792 2.6672 4.2781 Å, 90.00 102.75 90.00°
Sites, in units of the cell vectors:
1 Mn 0.0000 0.0000 0.0000
2 Mn 0.5000 0.5000 0.0000
3 Cu 0.2446 0.0000 0.7322
4 Cu 0.7446 0.5000 0.7322
5 Ni 0.2497 0.5000 0.2416
6 Ni 0.4960 0.0000 0.4960
7 Ni 0.7497 0.0000 0.2416
8 Ni 0.9960 0.5000 0.4960

Results
Total energy, eV/atom: -6.181
DOS at the Fermi energy, states/eV per cell: 6.57
Mass density, g/cm³: 8.3
Space group: Cm (8)

=====

(12)
Material: Mg2Ni5P3
Method: DFT, GGA-PBE
State: relaxed

Cell: 11.0059 11.0059 6.2413 Å, 90.00 90.00 160.28°
Sites, in units of the cell vectors:
1 Mg 0.0236 0.9764 0.5000
2 Mg 0.3262 0.6738 0.4932
3 Mg 0.6738 0.3262 0.9932
4 Mg 0.9764 0.0236 0.0000
5 Ni 0.0918 0.9082 0.1140
6 Ni 0.2097 0.7903 0.6626
7 Ni 0.2144 0.7856 0.2663
8 Ni 0.3738 0.6262 0.0002
9 Ni 0.4436 0.5564 0.3412
10 Ni 0.5564 0.4436 0.8412
11 Ni 0.6262 0.3738 0.5002
12 Ni 0.7856 0.2144 0.7663
13 Ni 0.7903 0.2097 0.1626
14 Ni 0.9082 0.0918 0.6140
15 P 0.1123 0.8877 0.7602
16 P 0.2687 0.7313 0.9619
17 P 0.4511 0.5489 0.7223
18 P 0.5489 0.4511 0.2223
19 P 0.7313 0.2687 0.4619
20 P 0.8877 0.1123 0.2602

Results
Total energy, eV/atom: -5.339
DOS at the Fermi energy, states/eV per cell: 12.66
Mass density, g/cm³: 5.7
Space group: Cmc2_1 (36)

=====

| no. | M_tot (Bohr magnetons per cell) |
| --- | --- |
| 1 | 4.56 |
| 2 | 0.00 |
| 3 | 0.00 |
| 4 | 28.07 |
| 5 | 0.00 |
| 6 | 0.01 |
| 7 | 0.00 |
| 8 | 0.00 |
| 9 | 0.00 |
| 10 | 0.00 |
| 11 | 8.92 |
| 12 | 0.00 |